[1]
This record from Alexandria via LeMat-Bulk describes crystalline Li2PmGaI6 at its relaxed geometry. The functional is PBE.

Cell and atoms, written as CIF:
```
data_Li2PmGaI6
_chemical_formula_sum 'Li6 Pm3 Ga3 I18'
_symmetry_space_group_name_H-M 'R 3'
_symmetry_Int_Tables_number 146
_symmetry_space_group_name_Hall 'R 3'
_cell_length_a 7.7809
_cell_length_b 7.7809
_cell_length_c 21.4194
_cell_angle_alpha 90.00
_cell_angle_beta 90.00
_cell_angle_gamma 120.00
loop_
_atom_site_label
_atom_site_type_symbol
_atom_site_fract_x
_atom_site_fract_y
_atom_site_fract_z
Li1 Li 0.0000 0.0000 0.0000
Li2 Li 0.0000 0.0000 0.4980
Pm1 Pm 0.0000 0.0000 0.6824
Ga1 Ga 0.0000 0.0000 0.1884
I1 I 0.0042 0.3504 0.7537
I2 I 0.0069 0.6276 0.2558
```

Calculated values
Crystal system: trigonal
Density of states at the Fermi level, states/eV per atom: 0.000
Uncorrected formation energy, eV per formula unit: -10.8



[2]
This record from Alexandria via LeMat-Bulk describes crystalline As2RhO6 at its relaxed geometry. The functional is PBE.

Cell and atoms, written as CIF:
```
data_As2RhO6
_chemical_formula_sum 'As2 Rh1 O6'
_symmetry_space_group_name_H-M 'P -3 1 m'
_symmetry_Int_Tables_number 162
_symmetry_space_group_name_Hall '-P 3 2'
_cell_length_a 4.9310
_cell_length_b 4.9310
_cell_length_c 4.5414
_cell_angle_alpha 90.00
_cell_angle_beta 90.00
_cell_angle_gamma 120.00
loop_
_atom_site_label
_atom_site_type_symbol
_atom_site_fract_x
_atom_site_fract_y
_atom_site_fract_z
As1 As 0.3333 0.6667 0.0000
Rh1 Rh 0.0000 0.0000 0.5000
O1 O 0.0000 0.3633 0.2269
```

Calculated values
Crystal system: trigonal
Density of states at the Fermi level, states/eV per atom: 0.239
Uncorrected formation energy, eV per formula unit: -8.2



[3]
This record from Alexandria via LeMat-Bulk describes crystalline NbHRu2 at its relaxed geometry. The functional is PBE.

Cell and atoms, written as CIF:
```
data_NbHRu2
_chemical_formula_sum 'Nb4 H4 Ru8'
_symmetry_space_group_name_H-M 'I -4 2 d'
_symmetry_Int_Tables_number 122
_symmetry_space_group_name_Hall 'I -4 2bw'
_cell_length_a 5.4521
_cell_length_b 5.4521
_cell_length_c 6.9568
_cell_angle_alpha 90.00
_cell_angle_beta 90.00
_cell_angle_gamma 90.00
loop_
_atom_site_label
_atom_site_type_symbol
_atom_site_fract_x
_atom_site_fract_y
_atom_site_fract_z
Nb1 Nb 0.0000 0.0000 0.0000
H1 H 0.0000 0.0000 0.5000
Ru1 Ru 0.1094 0.7500 0.6250
```

Calculated values
Relative energy among the computed polymorphs, eV per atom: 0.1086
Crystal system: tetragonal
Density of states at the Fermi level, states/eV per atom: 0.707



[4]
This record from Alexandria via LeMat-Bulk describes crystalline CsBSeN2 at its relaxed geometry. The functional is PBE.

Cell and atoms, written as CIF:
```
data_CsBSeN2
_chemical_formula_sum 'Cs1 B1 Se1 N2'
_symmetry_space_group_name_H-M 'P 4/m m m'
_symmetry_Int_Tables_number 123
_symmetry_space_group_name_Hall '-P 4 2'
_cell_length_a 4.3820
_cell_length_b 4.3820
_cell_length_c 7.2523
_cell_angle_alpha 90.00
_cell_angle_beta 90.00
_cell_angle_gamma 90.00
loop_
_atom_site_label
_atom_site_type_symbol
_atom_site_fract_x
_atom_site_fract_y
_atom_site_fract_z
Cs1 Cs 0.0000 0.0000 0.0000
B1 B 0.5000 0.5000 0.5000
Se1 Se 0.0000 0.0000 0.5000
N1 N 0.0000 0.5000 0.0000
```

Calculated values
Relative energy among the computed polymorphs, eV per atom: 0.8181
Crystal system: tetragonal
Density of states at the Fermi level, states/eV per atom: 0.964
Uncorrected formation energy, eV per formula unit: 15.7



[5]
This record from Alexandria via LeMat-Bulk describes crystalline Sm2Al2Hg at its relaxed geometry. The functional is PBE.

Cell and atoms, written as CIF:
```
data_Sm2Al2Hg
_chemical_formula_sum 'Sm8 Al8 Hg4'
_symmetry_space_group_name_H-M 'C 1 2/m 1'
_symmetry_Int_Tables_number 12
_cell_length_a 11.0881
_cell_length_b 4.6344
_cell_length_c 10.8716
_cell_angle_alpha 90.00
_cell_angle_beta 117.26
_cell_angle_gamma 90.00
loop_
_symmetry_equiv_pos_as_xyz
'x,y,z'
'-x,-y,-z'
'-x,y,-z'
'x,-y,z'
'x+1/2,y+1/2,z'
'-x+1/2,-y+1/2,-z'
'-x+1/2,y+1/2,-z'
'x+1/2,-y+1/2,z'
loop_
_atom_site_label
_atom_site_type_symbol
_atom_site_fract_x
_atom_site_fract_y
_atom_site_fract_z
Sm1 Sm 0.0112 0.0000 0.3265
Sm2 Sm 0.1804 0.0000 0.0934
Al1 Al 0.0197 0.5000 0.8859
Al2 Al 0.1354 0.5000 0.5616
Hg1 Hg 0.2266 0.5000 0.3435
```

Calculated values
Crystal system: monoclinic
Density of states at the Fermi level, states/eV per atom: 0.705
Electronic total energy, eV per atom: -3.88



[6]
This record from Alexandria via LeMat-Bulk describes crystalline LiHoPa2O8 at its relaxed geometry. The functional is PBE.

Cell and atoms, written as CIF:
```
data_LiHoPa2O8
_chemical_formula_sum 'Li1 Ho1 Pa2 O8'
_symmetry_space_group_name_H-M 'P -3'
_symmetry_Int_Tables_number 147
_cell_length_a 5.7121
_cell_length_b 5.7121
_cell_length_c 5.4426
_cell_angle_alpha 90.00
_cell_angle_beta 90.00
_cell_angle_gamma 120.00
loop_
_symmetry_equiv_pos_as_xyz
'x,y,z'
'-x,-y,-z'
'-y,x-y,z'
'y,-x+y,-z'
'-x+y,-x,z'
'x-y,x,-z'
loop_
_atom_site_label
_atom_site_type_symbol
_atom_site_fract_x
_atom_site_fract_y
_atom_site_fract_z
Li1 Li 0.0000 0.0000 0.0000
Ho1 Ho 0.0000 0.0000 0.5000
Pa1 Pa 0.3333 0.6667 0.9080
O1 O 0.0538 0.3272 0.1866
O2 O 0.3333 0.6667 0.5505
```

Calculated values
Crystal system: trigonal
Density of states at the Fermi level, states/eV per atom: 0.477
Uncorrected formation energy, eV per formula unit: -31.1



[7]
This record from Alexandria via LeMat-Bulk describes crystalline HfIr2Au at its relaxed geometry. The functional is PBE.

Cell and atoms, written as CIF:
```
data_HfIr2Au
_chemical_formula_sum 'Hf4 Ir8 Au4'
_symmetry_space_group_name_H-M 'I -4 2 d'
_symmetry_Int_Tables_number 122
_symmetry_space_group_name_Hall 'I -4 2bw'
_cell_length_a 3.9760
_cell_length_b 3.9760
_cell_length_c 18.5007
_cell_angle_alpha 90.00
_cell_angle_beta 90.00
_cell_angle_gamma 90.00
loop_
_atom_site_label
_atom_site_type_symbol
_atom_site_fract_x
_atom_site_fract_y
_atom_site_fract_z
Hf1 Hf 0.0000 0.0000 0.0000
Ir1 Ir 0.2252 0.2500 0.6250
Au1 Au 0.0000 0.0000 0.5000
```

Calculated values
Relative energy among the computed polymorphs, eV per atom: 0.6195
Crystal system: tetragonal
Density of states at the Fermi level, states/eV per atom: 0.996



[8]
This record from Alexandria via LeMat-Bulk describes crystalline Ba2SiCl at its relaxed geometry. The functional is PBE.

Cell and atoms, written as CIF:
```
data_Ba2SiCl
_chemical_formula_sum 'Ba6 Si3 Cl3'
_symmetry_space_group_name_H-M 'R 3 m'
_symmetry_Int_Tables_number 160
_symmetry_space_group_name_Hall 'R 3 -2"'
_cell_length_a 4.5372
_cell_length_b 4.5372
_cell_length_c 25.5449
_cell_angle_alpha 90.00
_cell_angle_beta 90.00
_cell_angle_gamma 120.00
loop_
_atom_site_label
_atom_site_type_symbol
_atom_site_fract_x
_atom_site_fract_y
_atom_site_fract_z
Ba1 Ba 0.0000 0.0000 0.0000
Ba2 Ba 0.0000 0.0000 0.1773
Si1 Si 0.0000 0.0000 0.5888
Cl1 Cl 0.0000 0.0000 0.7584
```

Calculated values
Relative energy among the computed polymorphs, eV per atom: 0.0704
Crystal system: trigonal
Density of states at the Fermi level, states/eV per atom: 0.763
Uncorrected formation energy, eV per formula unit: -4.0



[9]
This record from Alexandria via LeMat-Bulk describes crystalline MgZn2Pb at its relaxed geometry. The functional is PBE.

Cell and atoms, written as CIF:
```
data_MgZn2Pb
_chemical_formula_sum 'Mg2 Zn4 Pb2'
_symmetry_space_group_name_H-M 'I m m m'
_symmetry_Int_Tables_number 71
_symmetry_space_group_name_Hall '-I 2 2'
_cell_length_a 4.2388
_cell_length_b 4.6649
_cell_length_c 8.5999
_cell_angle_alpha 90.00
_cell_angle_beta 90.00
_cell_angle_gamma 90.00
loop_
_atom_site_label
_atom_site_type_symbol
_atom_site_fract_x
_atom_site_fract_y
_atom_site_fract_z
Mg1 Mg 0.0000 0.0000 0.0000
Zn1 Zn 0.0000 0.5000 0.2537
Pb1 Pb 0.0000 0.0000 0.5000
```

Calculated values
Relative energy among the computed polymorphs, eV per atom: 0.0466
Crystal system: orthorhombic
Density of states at the Fermi level, states/eV per atom: 0.375



[10]
This record from Alexandria via LeMat-Bulk describes crystalline La2Zn2BiRh5 at its relaxed geometry. The functional is PBE.

Cell and atoms, written as CIF:
```
data_La2Zn2BiRh5
_chemical_formula_sum 'La4 Zn4 Bi2 Rh10'
_symmetry_space_group_name_H-M 'P 4/m b m'
_symmetry_Int_Tables_number 127
_symmetry_space_group_name_Hall '-P 4 2ab'
_cell_length_a 9.9241
_cell_length_b 9.9241
_cell_length_c 3.7773
_cell_angle_alpha 90.00
_cell_angle_beta 90.00
_cell_angle_gamma 90.00
loop_
_atom_site_label
_atom_site_type_symbol
_atom_site_fract_x
_atom_site_fract_y
_atom_site_fract_z
La1 La 0.1764 0.3236 0.0000
Zn1 Zn 0.1202 0.6202 0.0000
Bi1 Bi 0.0000 0.0000 0.0000
Rh1 Rh 0.0000 0.5000 0.5000
Rh2 Rh 0.0690 0.7868 0.5000
```

Calculated values
Crystal system: tetragonal
Density of states at the Fermi level, states/eV per atom: 0.636
Electronic total energy, eV per atom: -5.87